An optimized crystal structure of CdMoOs. Source: Alexandria, functional PBEsol.

energy: -8.12 eV/atom
total magnetization: 0.00 μB/cell
energy relative to the elements: 0.27 eV per atom
relative energy among the computed polymorphs: 26 meV/atom

Unit cell a=6.0311 b=6.0311 c=6.0311 alpha=151.64 beta=151.64 gamma=40.53
Positions (direct):
Cd: 0.0000 0.0000 0.0000
Mo: 0.6900 0.6900 0.0000
Os: 0.3181 0.3181 0.0000